Below is crystalline SrIn2OsO8 at its relaxed geometry, with properties calculated at the GGA-PBE level.

space group	P2/m, No. 10
density	6.2	g/cm3
energy	-6.2198	eV/atom
volume	169.1	Å³/f.u.

abc: 4.980 4.953 6.855
angles: 90.00 90.00 90.10
Fractional coordinates of all 12 atoms:
O (0.183, 0.810, 0.808)
O (0.183, 0.810, 0.192)
O (0.817, 0.190, 0.808)
O (0.817, 0.190, 0.192)
O (0.669, 0.683, 0.500)
O (0.331, 0.317, 0.500)
O (0.284, 0.278, 0.000)
O (0.716, 0.722, 0.000)
Sr (0.000, 0.000, 0.500)
In (0.500, 0.500, 0.752)
In (0.500, 0.500, 0.248)
Os (0.000, 0.000, 0.000)

=====

Below is crystalline TbInOsO6 at its relaxed geometry, with properties calculated at the GGA-PBE level.

space group	P-31c, No. 163
density	7.9	g/cm3
energy	-7.1157	eV/atom
volume	117.5	Å³/f.u.

abc: 5.487 5.487 9.017
angles: 90.00 90.00 120.00
Fractional coordinates of all 18 atoms:
O (0.044, 0.676, 0.871)
O (0.324, 0.368, 0.871)
O (0.324, 0.956, 0.629)
O (0.368, 0.324, 0.371)
O (0.632, 0.956, 0.871)
O (0.956, 0.632, 0.371)
O (0.676, 0.044, 0.371)
O (0.632, 0.676, 0.629)
O (0.368, 0.044, 0.129)
O (0.956, 0.324, 0.129)
O (0.676, 0.632, 0.129)
O (0.044, 0.368, 0.629)
Os (0.667, 0.333, 0.250)
Os (0.333, 0.667, 0.750)
Tb (0.667, 0.333, 0.750)
Tb (0.333, 0.667, 0.250)
In (0.000, 0.000, 0.500)
In (0.000, 0.000, 0.000)

=====

Below is crystalline TbIn2OsO8 at its relaxed geometry, with properties calculated at the GGA-PBE level.

space group	P2/m, No. 10
density	7.2	g/cm3
energy	-6.7426	eV/atom
volume	162.6	Å³/f.u.

abc: 4.955 4.949 6.630
angles: 90.00 90.00 90.64
Fractional coordinates of all 12 atoms:
Tb (0.000, 0.000, 0.500)
O (0.815, 0.186, 0.791)
O (0.721, 0.723, 0.000)
O (0.185, 0.814, 0.209)
O (0.279, 0.277, 0.000)
O (0.311, 0.309, 0.500)
O (0.815, 0.186, 0.209)
O (0.185, 0.814, 0.791)
O (0.689, 0.691, 0.500)
In (0.500, 0.500, 0.749)
In (0.500, 0.500, 0.251)
Os (0.000, 0.000, 0.000)

=====

Below is crystalline InTc2OsO at its relaxed geometry, with properties calculated at the GGA-PBE level.

space group	P4/mmm, No. 123
density	8.7	g/cm3
energy	-5.7950	eV/atom
volume	98.2	Å³/f.u.

abc: 5.078 3.807 5.078
angles: 90.00 90.00 90.00
Fractional coordinates of all 5 atoms:
Tc (0.000, 0.000, 0.500)
Tc (0.500, 0.000, 0.000)
In (0.000, 0.000, 0.000)
Os (0.500, 0.500, 0.500)
O (0.000, 0.500, 0.000)

=====

Below is crystalline TiInOs2O at its relaxed geometry, with properties calculated at the GGA-PBE level.

space group	P4/mmm, No. 123
density	12.9	g/cm3
energy	-7.6068	eV/atom
volume	72.2	Å³/f.u.

abc: 4.233 4.027 4.233
angles: 90.00 90.00 90.00
Fractional coordinates of all 5 atoms:
In (0.500, 0.500, 0.500)
O (0.000, 0.000, 0.000)
Os (0.500, 0.000, 0.000)
Os (0.000, 0.000, 0.500)
Ti (0.000, 0.500, 0.000)

=====

Below is crystalline TiIn2OsO at its relaxed geometry, with properties calculated at the GGA-PBE level.

space group	P4/mmm, No. 123
density	9.7	g/cm3
energy	-6.1314	eV/atom
volume	82.8	Å³/f.u.

abc: 4.627 3.866 4.627
angles: 90.00 90.00 90.00
Fractional coordinates of all 5 atoms:
Os (0.500, 0.500, 0.500)
O (0.000, 0.000, 0.000)
In (0.000, 0.000, 0.500)
In (0.500, 0.000, 0.000)
Ti (0.000, 0.500, 0.000)

=====

Below is crystalline Tl2In2OsO6 at its relaxed geometry, with properties calculated at the GGA-PBE level.

space group	C2/m, No. 12
density	8.3	g/cm3
energy	-5.7035	eV/atom
volume	184.5	Å³/f.u.

abc: 5.714 5.714 6.736
angles: 97.70 97.70 119.52
Fractional coordinates of all 11 atoms:
Tl (0.833, 0.167, 0.000)
Tl (0.167, 0.833, 0.000)
O (0.750, 0.750, 0.665)
O (0.950, 0.645, 0.340)
O (0.050, 0.355, 0.660)
O (0.645, 0.950, 0.340)
O (0.250, 0.250, 0.335)
O (0.355, 0.050, 0.660)
In (0.335, 0.665, 0.500)
In (0.665, 0.335, 0.500)
Os (0.000, 0.000, 0.500)

=====

Below is crystalline TlInOs2O8 at its relaxed geometry, with properties calculated at the GGA-PBE level.

space group	P-3, No. 147
density	6.2	g/cm3
energy	-6.5016	eV/atom
volume	222.1	Å³/f.u.

abc: 5.593 5.593 8.199
angles: 90.00 90.00 120.00
Fractional coordinates of all 12 atoms:
In (0.000, 0.000, 0.500)
Tl (0.000, 0.000, 0.000)
O (0.276, 0.943, 0.663)
O (0.057, 0.333, 0.663)
O (0.333, 0.667, 0.950)
O (0.333, 0.276, 0.337)
O (0.667, 0.724, 0.663)
O (0.667, 0.333, 0.050)
O (0.724, 0.057, 0.337)
O (0.943, 0.667, 0.337)
Os (0.333, 0.667, 0.734)
Os (0.667, 0.333, 0.266)

=====

Below is crystalline Tl2InOsO6 at its relaxed geometry, with properties calculated at the GGA-PBE level.

space group	P-3m1, No. 164
density	6.6	g/cm3
energy	-5.7202	eV/atom
volume	204.0	Å³/f.u.

abc: 5.715 6.420 6.420
angles: 120.00 90.00 90.00
Fractional coordinates of all 10 atoms:
Os (0.000, 0.000, 0.000)
In (0.500, 0.000, 0.000)
O (0.796, 0.136, 0.273)
O (0.204, 0.864, 0.136)
O (0.796, 0.727, 0.864)
O (0.204, 0.273, 0.136)
O (0.204, 0.864, 0.727)
O (0.796, 0.136, 0.864)
Tl (0.048, 0.333, 0.667)
Tl (0.952, 0.667, 0.333)

=====

Below is crystalline Tl3InOs2O9 at its relaxed geometry, with properties calculated at the GGA-PBE level.

space group	P-3m1, No. 164
density	10.3	g/cm3
energy	-6.0254	eV/atom
volume	202.0	Å³/f.u.

abc: 5.736 5.736 7.089
angles: 90.00 90.00 120.00
Fractional coordinates of all 15 atoms:
O (0.823, 0.647, 0.686)
O (0.353, 0.177, 0.686)
O (0.647, 0.823, 0.314)
O (0.500, 0.000, 0.000)
O (0.177, 0.353, 0.314)
O (0.500, 0.500, 0.000)
O (0.000, 0.500, 0.000)
O (0.177, 0.823, 0.314)
O (0.823, 0.177, 0.686)
Os (0.333, 0.667, 0.155)
Os (0.667, 0.333, 0.845)
Tl (0.333, 0.667, 0.648)
Tl (0.667, 0.333, 0.352)
Tl (0.000, 0.000, 0.000)
In (0.000, 0.000, 0.500)

=====

Below is crystalline TmIn2OsO8 at its relaxed geometry, with properties calculated at the GGA-PBE level.

space group	P2/m, No. 10
density	7.5	g/cm3
energy	-6.7559	eV/atom
volume	159.7	Å³/f.u.

abc: 4.938 4.930 6.562
angles: 90.00 90.00 91.02
Fractional coordinates of all 12 atoms:
O (0.183, 0.815, 0.213)
O (0.183, 0.815, 0.787)
O (0.817, 0.185, 0.787)
O (0.693, 0.695, 0.500)
O (0.720, 0.722, 0.000)
O (0.280, 0.278, 0.000)
O (0.817, 0.185, 0.213)
O (0.307, 0.305, 0.500)
In (0.500, 0.500, 0.252)
In (0.500, 0.500, 0.748)
Tm (0.000, 0.000, 0.500)
Os (0.000, 0.000, 0.000)

=====

Please write out number 11 again, unchanged.
Below is crystalline TmIn2OsO8 at its relaxed geometry, with properties calculated at the GGA-PBE level.

space group	P2/m, No. 10
density	7.5	g/cm3
energy	-6.7559	eV/atom
volume	159.7	Å³/f.u.

abc: 4.938 4.930 6.562
angles: 90.00 90.00 91.02
Fractional coordinates of all 12 atoms:
O (0.183, 0.815, 0.213)
O (0.183, 0.815, 0.787)
O (0.817, 0.185, 0.787)
O (0.693, 0.695, 0.500)
O (0.720, 0.722, 0.000)
O (0.280, 0.278, 0.000)
O (0.817, 0.185, 0.213)
O (0.307, 0.305, 0.500)
In (0.500, 0.500, 0.252)
In (0.500, 0.500, 0.748)
Tm (0.000, 0.000, 0.500)
Os (0.000, 0.000, 0.000)

=====

Question: Which value of volume does entry 5 give?
Answer: 72.2 Å³/f.u.